A plane-wave DFT calculation with PBE+U was carried out for VCdH2O4 after structural relaxation.

Output
Volume, Å³/atom: 10.0
Space group: I222 (23)
E, eV for the cell shown: -44.40

Cell: 4.7735 4.7735 4.7735 Å, 123.31 104.03 102.03°
Last column: nearest neighbours and their distance in Å.
Fractional coordinates of all 8 atoms:
V 0.0000 0.0000 0.0000  4 O 1.85
Cd 0.5000 0.5000 0.0000  4 O 2.36
H 0.1913 0.6913 0.5000  2 O 1.23
H 0.8087 0.3087 0.5000  2 O 1.23
O 0.0685 0.4702 0.1567  1 H 1.23
O 0.3134 0.9117 0.8433  1 H 1.23
O 0.6866 0.5298 0.5983  1 H 1.23
O 0.9315 0.0883 0.4017  1 H 1.23